[1]
VASP calculation (PBE) on crystalline LiCe3Pu2Se6 at its relaxed geometry.

## Properties
- Formation energy from raw total energies: -1.6441 eV per atom

Cell: 7.229 7.229 7.198 Å, 99.65 99.65 120.11°
Last column: magnetic moment on the atom in μB.
Sites, in units of the cell vectors:
1 Li 0.000 0.000 0.000  0.00
2 Se 0.080 0.407 0.240  -0.05
3 Se 0.753 0.753 0.242  -0.05
4 Se 0.407 0.080 0.240  -0.05
5 Se 0.247 0.247 0.758  -0.05
6 Se 0.920 0.593 0.760  -0.05
7 Se 0.593 0.920 0.760  -0.05
8 Ce 0.500 0.500 0.500  1.02
9 Ce 0.832 0.168 0.500  1.01
10 Ce 0.168 0.832 0.500  1.01
11 Pu 0.666 0.334 0.000  5.42
12 Pu 0.334 0.666 0.000  5.42


[2]
VASP calculation (PBE) on crystalline Ce6Zr at its relaxed geometry.

## Properties
- Formation energy: 918 meV per atom

Cell: 6.515 6.515 6.515 Å, 109.47 109.47 109.47°
Sites, in units of the cell vectors:
1 Ce 0.750 0.250 0.500
2 Ce 0.750 0.500 0.250
3 Ce 0.500 0.750 0.250
4 Ce 0.250 0.500 0.750
5 Ce 0.500 0.250 0.750
6 Ce 0.250 0.750 0.500
7 Zr 0.000 0.000 0.000


[3]
VASP calculation (PBE) on crystalline BaScU2O8 at its relaxed geometry.

## Properties
- Formation energy from raw total energies: -3.1457 eV per atom

Cell: 5.157 5.159 7.163 Å, 90.00 90.00 86.23°
Last column: magnetic moment on the atom in μB.
Sites, in units of the cell vectors:
1 O 0.213 0.786 0.208  -0.01
2 O 0.686 0.686 0.000  -0.02
3 O 0.314 0.314 0.000  -0.02
4 O 0.213 0.786 0.792  -0.01
5 O 0.787 0.214 0.208  -0.01
6 O 0.787 0.214 0.792  -0.01
7 O 0.660 0.661 0.500  -0.02
8 O 0.340 0.339 0.500  -0.02
9 Sc 0.000 0.000 0.000  -0.01
10 U 0.500 0.500 0.759  0.56
11 U 0.500 0.500 0.241  0.56
12 Ba 0.000 0.000 0.500  0.00


[4]
VASP calculation (PBE) on crystalline AuI2NO at its relaxed geometry.

## Properties
- Formation energy from raw total energies: 1.4129 eV per atom
- Excess energy over the best structure of this formula in the dataset: 167 meV/atom

Cell: 5.113 5.113 4.022 Å, 90.00 90.00 90.00°
Last column: magnetic moment on the atom in μB.
Sites, in units of the cell vectors:
1 I 0.000 0.500 0.000  0.05
2 I 0.500 0.000 0.000  0.05
3 Au 0.500 0.500 0.500  0.04
4 N 0.000 0.000 0.500  1.41
5 O 0.000 0.000 0.000  0.01